VASP calculation (GGA-PBE) on a geometry-optimized PrPaIn4 structure.

Cell lengths 8.560, 8.560, 8.560 Å; angles 90.00, 90.00, 90.00 degrees
Space group F-43m (No. 216)
Unique sites:
Pr1 0.000 0.000 0.000 x4
Pa1 0.250 0.250 0.750 x4
In1 0.125 0.125 0.375 x16

## Properties
* raw total energy: -25.99 eV per formula unit
* total moment: 6.51 Bohr magnetons per cell
* N(E_F): 1.646 states/eV/atom